VASP calculation (PBE) on crystalline Ac2Sn3SbPt4 at its relaxed geometry.

Output
ρ = 11.82 Mg/m³
Raw formation energy = -0.898 eV per atom

a = 4.7751 Å, b = 4.7751 Å, c = 10.5455 Å
α = 90.00°, β = 90.00°, γ = 90.00°
Last column: nearest neighbours and their distance in Å.
Positions (direct):
Sb  0.5000  0.5000  0.5000  4 Pt 2.72
Ac  0.0000  0.5000  0.7605  8 Pt 3.48-3.67, 7 Sn 3.59-3.83, 2 Sb 3.64
Ac  0.5000  0.0000  0.2395  8 Pt 3.48-3.67, 7 Sn 3.59-3.83, 2 Sb 3.64
Pt  0.5000  0.0000  0.6235  3 Sn 2.66-2.72, 2 Sb 2.72
Sn  0.5000  0.0000  0.8759  5 Pt 2.66-2.72
Pt  0.0000  0.0000  0.0000  4 Sn 2.72
Sn  0.0000  0.5000  0.1241  5 Pt 2.66-2.72
Pt  0.0000  0.5000  0.3765  3 Sn 2.66-2.72, 2 Sb 2.72
Sn  0.0000  0.0000  0.5000  4 Pt 2.72
Pt  0.5000  0.5000  0.0000  4 Sn 2.72